No. 1
Here is crystalline LiCe2Tc2N6 at its relaxed geometry from Alexandria via LeMat-Bulk. Energies are from PBE.

## Properties
Formation energy from raw total energies = -392.8 meV per atom
Space group = No. 166

extended XYZ file:
```
11
Lattice="2.7667 1.5973 5.9344 -2.7667 1.5973 5.9344 0.0000 -3.1947 5.9344" Properties=species:S:1:pos:R:3 pbc="T T T"
Li 0.0000 0.0000 0.0000
Ce 0.0000 0.0000 3.6749
Ce 0.0000 0.0000 14.1283
Tc 0.0000 0.0000 7.0443
Tc 0.0000 0.0000 10.7589
N -1.4424 -0.8328 10.1276
N 0.0000 -1.6656 7.6756
N -1.4424 0.8328 7.6756
N 1.4424 -0.8328 10.1276
N 0.0000 1.6656 10.1276
N 1.4424 0.8328 7.6756
```

***

No. 2
Here is crystalline La2PmHo5Sc at its relaxed geometry from Alexandria via LeMat-Bulk. Energies are from PBE.

## Properties
ΔE_f = 15.05 kJ per mole of atoms
Space group = No. 36

extended XYZ file:
```
18
Lattice="2.8039 -9.8750 0.0000 2.8039 9.8750 0.0000 0.0000 0.0000 10.5221" Properties=species:S:1:pos:R:3 pbc="T T T"
La 2.8039 7.6204 5.2611
La 2.8039 7.5911 9.6765
La 2.8039 -7.5911 4.4154
La 2.8039 -7.6204 0.0000
Pm 2.8039 1.7316 6.8163
Pm 2.8039 -1.7316 1.5553
Ho 2.8039 9.5623 2.1656
Ho 2.8039 4.3997 5.3372
Ho 2.8039 4.0306 9.3549
Ho 2.8039 2.4564 2.1531
Ho 2.8039 0.3321 9.7485
Ho 2.8039 -0.3321 4.4874
Ho 2.8039 -2.4564 7.4142
Ho 2.8039 -4.0306 4.0939
Ho 2.8039 -4.3997 0.0762
Ho 2.8039 -9.5623 7.4267
Sc 2.8039 5.9581 2.1000
Sc 2.8039 -5.9581 7.3610
```

***

No. 3
Here is crystalline Re2NiMoIr at its relaxed geometry from Alexandria via LeMat-Bulk. Energies are from PBE.

## Properties
Energy relative to the lowest polymorph listed for this composition = 0.00 eV per formula unit
ΔE_f = 149.71 kJ per mole of atoms
Space group = No. 123

extended XYZ file:
```
5
Lattice="4.3715 0.0000 0.0000 0.0000 4.3715 0.0000 0.0000 0.0000 4.3554" Properties=species:S:1:pos:R:3 pbc="T T T"
Re 0.0000 2.1858 0.0000
Re 2.1858 0.0000 0.0000
Ni 0.0000 0.0000 0.0000
Mo 0.0000 0.0000 2.1777
Ir 2.1858 2.1858 2.1777
```